No. 1
First-principles (PBE) data for an optimized crystal structure of NdCoB2Os, as listed in the Alexandria database.

Cell: 5.6608 5.6608 5.6608 Å, 140.74 140.74 56.73°
Fractional positions:
Nd (0.0000, 0.0000, 0.0000)
Co (0.7500, 0.2500, 0.5000)
B (0.3326, 0.3326, 0.0000)
B (0.6674, 0.6674, 0.0000)
Os (0.2500, 0.7500, 0.5000)


No. 2
First-principles (PBE) data for an optimized crystal structure of NdCoB2Ru, as listed in the Alexandria database.

Cell: 5.6183 5.6183 5.6183 Å, 140.54 140.54 57.04°
Fractional positions:
Nd (0.0000, 0.0000, 0.0000)
Co (0.7500, 0.2500, 0.5000)
B (0.3322, 0.3322, 0.0000)
B (0.6678, 0.6678, 0.0000)
Ru (0.2500, 0.7500, 0.5000)


No. 3
First-principles (PBE) data for an optimized crystal structure of NdCo3SiB, as listed in the Alexandria database.

Values from the calculation:
raw formation energy: -0.3598 eV/atom

Cell: 6.1783 6.1783 5.5450 Å, 90.00 90.00 128.10°
Fractional positions:
Nd (0.2417, 0.7583, 0.7500)
Nd (0.7583, 0.2417, 0.2500)
Co (0.2506, 0.2506, 0.0000)
Co (0.2506, 0.2506, 0.5000)
Co (0.3193, 0.6807, 0.2500)
Co (0.6807, 0.3193, 0.7500)
Co (0.7494, 0.7494, 0.0000)
Co (0.7494, 0.7494, 0.5000)
Si (0.1172, 0.8828, 0.2500)
Si (0.8828, 0.1172, 0.7500)
B (0.4949, 0.5051, 0.2500)
B (0.5051, 0.4949, 0.7500)


No. 4
First-principles (PBE) data for an optimized crystal structure of Co2NiB, as listed in the Alexandria database.

Cell: 4.9404 4.9404 5.9908 Å, 93.12 93.12 31.12°
Fractional positions:
Co (0.0342, 0.0342, 0.2909)
Co (0.2366, 0.2366, 0.6728)
Co (0.7634, 0.7634, 0.3272)
Co (0.9658, 0.9658, 0.7091)
Ni (0.3664, 0.3664, 0.0317)
Ni (0.6336, 0.6336, 0.9683)
B (0.4063, 0.4063, 0.4511)
B (0.5937, 0.5937, 0.5489)


no.,E (eV/atom)
1,-7.740
2,-7.373
3,-6.724
4,-6.787